First-principles (PBE-GGA) data for RbDyHg2Cl8 after structural relaxation, as listed in the Alexandria database.

Calculated values
**M_tot**: 0.000 μB per atom
**ΔE_f (raw)**: -16.4 eV per formula unit
**SG**: P-1

Structure (POSCAR):
```
RbDyHg2Cl8
1.0
6.690 0.239 0.564
0.262 6.805 1.104
0.736 1.548 9.101
Rb Dy Hg Cl
1 1 2 8
Direct
0.000 0.000 0.500
0.000 0.000 0.000
0.471 0.465 0.732
0.529 0.535 0.268
0.132 0.736 0.245
0.675 0.766 0.025
0.801 0.191 0.182
0.868 0.264 0.755
0.325 0.234 0.975
0.199 0.809 0.818
0.587 0.735 0.505
0.413 0.265 0.495
```


First-principles (PBE-GGA) data for DyTlHg2Cl8 after structural relaxation, as listed in the Alexandria database.

Calculated values
**M_tot**: 0.000 μB per atom
**ΔE_f (raw)**: -14.4 eV per formula unit
**SG**: P-1

Structure (POSCAR):
```
DyTlHg2Cl8
1.0
-2.870 -3.047 -5.323
5.581 -3.573 -1.384
-1.226 -8.119 3.698
Dy Tl Hg Cl
1 1 2 8
Direct
0.000 0.000 0.000
0.000 0.000 0.500
0.475 0.463 0.734
0.525 0.537 0.266
0.135 0.744 0.244
0.668 0.765 0.024
0.817 0.202 0.187
0.865 0.256 0.756
0.332 0.235 0.976
0.183 0.798 0.813
0.600 0.733 0.512
0.400 0.267 0.488
```


First-principles (PBE-GGA) data for DyTlHgCl6 after structural relaxation, as listed in the Alexandria database.

Calculated values
**M_tot**: 0.000 μB per atom
**ΔE_f (raw)**: -13.0 eV per formula unit
**SG**: P-31c

Structure (POSCAR):
```
DyTlHgCl6
1.0
7.010 0.000 0.000
-3.505 6.071 0.000
0.000 0.000 13.987
Dy Tl Hg Cl
2 2 2 12
Direct
0.667 0.333 0.250
0.333 0.667 0.750
0.000 0.000 0.000
0.000 0.000 0.500
0.333 0.667 0.250
0.667 0.333 0.750
0.630 0.624 0.140
0.993 0.370 0.140
0.370 0.993 0.640
0.007 0.630 0.860
0.376 0.370 0.360
0.993 0.624 0.360
0.624 0.993 0.860
0.630 0.007 0.360
0.007 0.376 0.640
0.376 0.007 0.140
0.624 0.630 0.640
0.370 0.376 0.860
```


First-principles (PBE-GGA) data for DyHo2Cl after structural relaxation, as listed in the Alexandria database.

Calculated values
**M_tot**: 0.301 μB per atom
**ΔE_f (raw)**: -1.4 eV per formula unit
**SG**: R-3m

Structure (POSCAR):
```
DyHo2Cl
1.0
3.420 0.000 0.000
1.710 2.962 0.000
1.710 0.987 11.154
Cl Ho Dy
1 2 1
Direct
0.500 0.500 0.500
0.100 0.100 0.699
0.900 0.900 0.301
0.000 0.000 0.000
```


First-principles (PBE-GGA) data for DyHo3Cl after structural relaxation, as listed in the Alexandria database.

Calculated values
**M_tot**: 0.000 μB per atom
**ΔE_f (raw)**: -2.1 eV per formula unit
**SG**: Pm-3m

Structure (POSCAR):
```
DyHo3Cl
1.0
5.248 0.000 0.000
0.000 5.248 0.000
0.000 0.000 5.248
Cl Ho Dy
1 3 1
Direct
0.000 0.000 0.000
0.000 0.500 0.000
0.000 0.000 0.500
0.500 0.000 0.000
0.500 0.500 0.500
```


First-principles (PBE-GGA) data for Dy2HoCl after structural relaxation, as listed in the Alexandria database.

Calculated values
**M_tot**: 0.001 μB per atom
**ΔE_f (raw)**: -2.6 eV per formula unit
**SG**: R-3m

Structure (POSCAR):
```
Dy2HoCl
1.0
-1.855 1.224 2.815
-2.702 -1.937 1.346
4.807 -4.790 7.535
Cl Ho Dy
1 1 2
Direct
0.000 0.000 0.000
0.500 0.500 0.500
0.740 0.740 0.781
0.260 0.260 0.219
```


Question: The highest ΔE_f (raw) belongs to which entry?
Answer: DyHo2Cl


What did the fourth record say?
First-principles (PBE-GGA) data for DyHo2Cl after structural relaxation, as listed in the Alexandria database.

Calculated values
**M_tot**: 0.301 μB per atom
**ΔE_f (raw)**: -1.4 eV per formula unit
**SG**: R-3m

Structure (POSCAR):
```
DyHo2Cl
1.0
3.420 0.000 0.000
1.710 2.962 0.000
1.710 0.987 11.154
Cl Ho Dy
1 2 1
Direct
0.500 0.500 0.500
0.100 0.100 0.699
0.900 0.900 0.301
0.000 0.000 0.000
```


Question: The lowest ΔE_f (raw) belongs to which entry?
Answer: RbDyHg2Cl8


Question: Which of these has the lowest ΔE_f (raw)?
Answer: RbDyHg2Cl8